{
  "formula": "Mn2VSbH",
  "functional": "PBE-GGA",
  "state": "relaxed",
  "total_magnetization_mub_per_cell": 4.478,
  "energy_ev_per_atom": -7.04,
  "spacegroup": "P4/mmm (123)",
  "lattice_angstrom": [[3.875, 0.000, 0.000], [0.000, 3.875, 0.000], [0.000, 0.000, 4.034]],
  "species": ["H", "Sb", "Mn", "Mn", "V"],
  "fractional_positions": [[0.000, 0.000, 0.000], [0.500, 0.500, 0.500], [0.500, 0.000, 0.000], [0.000, 0.500, 0.000], [0.000, 0.000, 0.500]]
}

---

{
  "formula": "Mn2ZnSbH",
  "functional": "PBE-GGA",
  "state": "relaxed",
  "total_magnetization_mub_per_cell": 6.499,
  "energy_ev_per_atom": -5.12,
  "spacegroup": "P4/mmm (123)",
  "lattice_angstrom": [[-3.651, 1.298, -0.353], [0.386, -0.154, -4.565], [-1.305, -3.666, 0.013]],
  "species": ["Zn", "Sb", "H", "Mn", "Mn"],
  "fractional_positions": [[0.500, 0.500, 0.500], [0.000, 0.500, 0.000], [0.000, 0.000, 0.000], [0.500, 0.000, 0.000], [0.000, 0.000, 0.500]]
}

---

{
  "formula": "ScMnH2",
  "functional": "PBE-GGA",
  "state": "relaxed",
  "total_magnetization_mub_per_cell": 3.205,
  "energy_ev_per_atom": -5.34,
  "e_above_lowest_polymorph_ev_per_atom": 0.431,
  "spacegroup": "Fm-3m (225)",
  "lattice_angstrom": [[3.117, -2.255, 0.019], [0.161, -3.039, 2.354], [-0.193, -3.562, -1.441]],
  "species": ["H", "H", "Mn", "Sc"],
  "fractional_positions": [[0.750, 0.750, 0.750], [0.250, 0.250, 0.250], [0.500, 0.500, 0.500], [0.000, 0.000, 0.000]]
}

---

{
  "formula": "ScMn3H",
  "functional": "PBE-GGA",
  "state": "relaxed",
  "total_magnetization_mub_per_cell": 10.860,
  "energy_ev_per_atom": -5.51,
  "e_above_lowest_polymorph_ev_per_atom": 1.828,
  "spacegroup": "Pm-3m (221)",
  "lattice_angstrom": [[-3.700, 2.822, 1.305], [-3.108, -3.309, -1.656], [-0.074, -2.107, 4.348]],
  "species": ["Sc", "Mn", "Mn", "Mn", "H"],
  "fractional_positions": [[0.000, 0.000, 0.000], [0.000, 0.000, 0.500], [0.000, 0.500, 0.000], [0.500, 0.000, 0.000], [0.500, 0.500, 0.500]]
}

---

{
  "formula": "ScMnH4",
  "functional": "PBE-GGA",
  "state": "relaxed",
  "total_magnetization_mub_per_cell": 0.112,
  "energy_ev_per_atom": -5.10,
  "e_above_lowest_polymorph_ev_per_atom": 0.000,
  "spacegroup": "P4/mmm (123)",
  "lattice_angstrom": [[-2.394, -1.405, 1.297], [1.687, -0.573, 2.493], [-1.287, 3.803, 1.746]],
  "species": ["Sc", "H", "H", "H", "H", "Mn"],
  "fractional_positions": [[0.501, 0.497, 0.998], [0.501, 0.997, 0.700], [0.001, 0.497, 0.296], [0.001, 0.497, 0.700], [0.501, 0.997, 0.296], [0.001, 0.997, 0.498]]
}

---

{
  "formula": "ScMnH4",
  "functional": "PBE-GGA",
  "state": "relaxed",
  "total_magnetization_mub_per_cell": 0.000,
  "energy_ev_per_atom": -5.05,
  "e_above_lowest_polymorph_ev_per_atom": 0.042,
  "spacegroup": "P-1 (2)",
  "lattice_angstrom": [[-2.013, 3.440, -0.515], [-4.247, -0.454, -2.122], [-3.220, -1.320, 3.767]],
  "species": ["Mn", "Mn", "H", "H", "H", "H", "H", "H", "H", "H", "Sc", "Sc"],
  "fractional_positions": [[0.500, 0.500, 0.500], [0.000, 0.500, 0.000], [0.632, 0.121, 0.586], [0.246, 0.120, 0.086], [0.754, 0.880, 0.914], [0.710, 0.407, 0.832], [0.883, 0.407, 0.332], [0.368, 0.879, 0.414], [0.117, 0.593, 0.668], [0.290, 0.593, 0.168], [0.771, 0.001, 0.250], [0.229, 0.999, 0.750]]
}